This record from the Alexandria database describes a relaxed structure of NiSbOsO. The functional is PBE with a Hubbard U.

Cell: 3.710 2.942 11.332 Å, 90.00 90.00 90.00°
Fractional positions:
Os1 0.000 0.500 0.242
Ni1 0.000 0.000 0.433
O1 0.000 0.000 0.742
Sb1 0.500 0.500 0.528
Ni2 0.500 0.500 0.933
O2 0.500 0.500 0.242
Sb2 0.000 0.000 0.028
Os2 0.500 0.000 0.742

Values from the calculation:
For the total energy, the calculation gives -0.406 Ry per atom. The calculation puts the density of states at the Fermi level at 4.156 states/eV per cell. The value obtained for the energy above the most stable polymorph in this dataset is 103 meV per atom.